# 1
VASP calculation (PBE) on an optimized crystal structure of Na5ThS4.

Results
Energy ... -4.2963 eV per atom
ΔE_f (raw) ... -1244 meV per atom
Density ... 2.77 g cm⁻³

Lattice parameters (Å, degrees): 8.9426 8.9426 8.0268 101.83 101.83 27.03
Last column: nearest neighbours and their distance in Å.
Fractional coordinates of all 10 atoms:
1 Na 0.0000 0.0000 0.0000  4 S 2.94
2 Na 0.3248 0.3248 0.6312  4 S 2.78-2.91
3 Na 0.3332 0.3332 0.1835  3 S 2.76-2.91
4 Na 0.6668 0.6668 0.8165  3 S 2.76-2.91
5 Na 0.6752 0.6752 0.3688  4 S 2.78-2.91
6 Th 0.0000 0.0000 0.5000  6 S 2.73-2.86
7 S 0.1605 0.1605 0.5885  1 Th 2.73, 5 Na 2.76-2.81
8 S 0.4955 0.4955 0.7408  2 Th 2.86, 4 Na 2.91-2.94
9 S 0.5045 0.5045 0.2592  2 Th 2.86, 4 Na 2.91-2.94
10 S 0.8395 0.8395 0.4115  1 Th 2.73, 5 Na 2.76-2.81

***

# 2
VASP calculation (PBE) on an optimized crystal structure of SrLiNdMg.

Results
Energy ... -2.4365 eV per atom
Energy relative to the elements ... 0.21 eV per formula unit
Density ... 3.36 g cm⁻³

Lattice parameters (Å, degrees): 5.6892 5.6892 5.6892 60.00 60.00 60.00
Last column: nearest neighbours and their distance in Å.
Fractional coordinates of all 4 atoms:
1 Sr 0.0000 0.0000 0.0000  4 Li 3.48, 4 Mg 3.48
2 Li 0.7500 0.7500 0.7500  4 Nd 3.48, 4 Sr 3.48
3 Nd 0.5000 0.5000 0.5000  4 Li 3.48, 4 Mg 3.48
4 Mg 0.2500 0.2500 0.2500  4 Nd 3.48, 4 Sr 3.48

***

# 3
VASP calculation (PBE) on an optimized crystal structure of LaNd5Dy2Ho.

Results
Energy ... -4.5800 eV per atom
Energy relative to the elements ... 1.33 eV per formula unit
Density ... 7.17 g cm⁻³

Lattice parameters (Å, degrees): 10.5731 10.5731 10.6996 90.00 90.00 148.50
Last column: nearest neighbours and their distance in Å.
Fractional coordinates of all 18 atoms:
1 La 0.0849 0.9151 0.5000  5 Nd 3.11-3.36
2 La 0.9151 0.0849 0.0000  5 Nd 3.11-3.36
3 Nd 0.0197 0.9803 0.7886  2 La 3.11-3.36
4 Nd 0.1151 0.8849 0.0709  6 Nd 3.59-3.93, 4 Dy 3.61-3.65, 1 Ho 3.78
5 Nd 0.2037 0.7963 0.7544  4 Nd 3.46-3.84, 3 Ho 3.55-3.81, 3 Dy 3.59-3.72, 1 La 3.64
6 Nd 0.2200 0.7800 0.3623  1 La 3.12, 1 Dy 3.35, 2 Nd 3.46
7 Nd 0.4831 0.5169 0.0704  2 La 3.27, 2 Dy 3.47-3.49
8 Nd 0.5169 0.4831 0.5704  2 La 3.27, 2 Dy 3.47-3.49
9 Nd 0.7800 0.2200 0.8623  1 La 3.12, 1 Dy 3.35, 2 Nd 3.46
10 Nd 0.7963 0.2037 0.2544  4 Nd 3.46-3.84, 3 Ho 3.55-3.81, 3 Dy 3.59-3.72, 1 La 3.64
11 Nd 0.8849 0.1151 0.5709  6 Nd 3.59-3.93, 4 Dy 3.61-3.65, 1 Ho 3.78
12 Nd 0.9803 0.0197 0.2886  2 La 3.11-3.36
13 Dy 0.3843 0.6157 0.3663  8 Nd 3.35-3.61, 1 Ho 3.70
14 Dy 0.3861 0.6139 0.7811  1 Ho 3.44, 7 Nd 3.49-3.72, 2 La 3.75
15 Dy 0.6139 0.3861 0.2811  1 Ho 3.44, 7 Nd 3.49-3.72, 2 La 3.75
16 Dy 0.6157 0.3843 0.8663  8 Nd 3.35-3.61, 1 Ho 3.70
17 Ho 0.3008 0.6992 0.0589  2 Dy 3.44-3.70, 8 Nd 3.55-3.81, 2 La 3.75
18 Ho 0.6992 0.3008 0.5589  2 Dy 3.44-3.70, 8 Nd 3.55-3.81, 2 La 3.75

***

# 4
VASP calculation (PBE) on an optimized crystal structure of YTl2Pd9.

Results
Energy ... -5.2421 eV per atom
Energy relative to the elements ... -4.97 eV per formula unit
Density ... 11.66 g cm⁻³

Lattice parameters (Å, degrees): 4.0960 4.0960 12.3543 90.00 90.00 90.00
Last column: nearest neighbours and their distance in Å.
Fractional coordinates of all 12 atoms:
1 Y 0.0000 0.0000 0.0000  12 Pd 2.90-2.93
2 Tl 0.0000 0.0000 0.3370  12 Pd 2.87-2.91
3 Tl 0.0000 0.0000 0.6630  12 Pd 2.87-2.91
4 Pd 0.0000 0.5000 0.1691  8 Pd 2.88-2.93, 2 Tl 2.91, 2 Y 2.93
5 Pd 0.0000 0.5000 0.5000  4 Tl 2.87, 8 Pd 2.90-2.91
6 Pd 0.0000 0.5000 0.8309  8 Pd 2.88-2.93, 2 Tl 2.91, 2 Y 2.93
7 Pd 0.5000 0.0000 0.1691  8 Pd 2.88-2.93, 2 Tl 2.91, 2 Y 2.93
8 Pd 0.5000 0.0000 0.5000  4 Tl 2.87, 8 Pd 2.90-2.91
9 Pd 0.5000 0.0000 0.8309  8 Pd 2.88-2.93, 2 Tl 2.91, 2 Y 2.93
10 Pd 0.5000 0.5000 0.0000  4 Y 2.90, 8 Pd 2.93
11 Pd 0.5000 0.5000 0.3326  8 Pd 2.88-2.91, 4 Tl 2.90
12 Pd 0.5000 0.5000 0.6674  8 Pd 2.88-2.91, 4 Tl 2.90